1.
CaMnTe2I | PBE | optimized geometry

Properties
- Formation energy without anion corrections: -0.1350 eV per atom
- Calculated volume: 145.9 Å³ per cell
- Size of the total moment: 0.00 μB per cell
- Calculated total energy: -3.94 eV per atom
- Polymorph energy (0 for the lowest one): 0 meV/atom

```
data_CaMnTe2I
_cell_length_a 5.0846
_cell_length_b 5.0846
_cell_length_c 5.6447
_cell_angle_alpha 90.00
_cell_angle_beta 90.00
_cell_angle_gamma 90.00
_space_group_name_H-M_alt 'P 4/m m m'
_space_group_IT_number 123
_space_group_name_Hall '-P 4 2'
loop_
_atom_site_label
_atom_site_type_symbol
_atom_site_fract_x
_atom_site_fract_y
_atom_site_fract_z
_atom_site_occupancy
Ca1 Ca 0.0000 0.0000 0.0000 1
Mn1 Mn 0.5000 0.5000 0.5000 1
Te1 Te 0.0000 0.5000 0.5000 1
I1 I 0.5000 0.5000 0.0000 1
```

2.
CsInNiH6 | PBE | optimized geometry

Properties
- Calculated volume: 123.3 Å³ per cell
- Size of the total moment: 0.00 μB per cell
- Calculated total energy: -3.24 eV per atom

```
data_CsInNiH6
_cell_length_a 4.8031
_cell_length_b 4.8031
_cell_length_c 6.1714
_cell_angle_alpha 90.00
_cell_angle_beta 90.00
_cell_angle_gamma 120.00
_space_group_name_H-M_alt 'P 3 1 2'
_space_group_IT_number 149
loop_
_space_group_symop_operation_xyz
'x,y,z'
'-y,x-y,z'
'-x+y,-x,z'
'-y,-x,-z'
'-x+y,y,-z'
'x,x-y,-z'
loop_
_atom_site_label
_atom_site_type_symbol
_atom_site_fract_x
_atom_site_fract_y
_atom_site_fract_z
_atom_site_occupancy
Cs1 Cs 0.0000 0.0000 0.0000 1
In1 In 0.3333 0.6667 0.5000 1
Ni1 Ni 0.6667 0.3333 0.5000 1
H1 H 0.5255 0.0535 0.6864 1
```

3.
RbTe2IrI | PBE | optimized geometry

Properties
- Formation energy without anion corrections: 1.7825 eV per atom
- Calculated volume: 308.5 Å³ per cell
- Size of the total moment: 7.01 μB per cell
- Calculated total energy: -1.75 eV per atom
- Polymorph energy (0 for the lowest one): 1910 meV/atom

```
data_RbTe2IrI
_cell_length_a 6.7995
_cell_length_b 6.7995
_cell_length_c 6.6726
_cell_angle_alpha 90.00
_cell_angle_beta 90.00
_cell_angle_gamma 90.00
_space_group_name_H-M_alt 'P 4/m m m'
_space_group_IT_number 123
_space_group_name_Hall '-P 4 2'
loop_
_atom_site_label
_atom_site_type_symbol
_atom_site_fract_x
_atom_site_fract_y
_atom_site_fract_z
_atom_site_occupancy
Rb1 Rb 0.0000 0.0000 0.0000 1
Te1 Te 0.0000 0.5000 0.0000 1
Ir1 Ir 0.5000 0.5000 0.5000 1
I1 I 0.0000 0.0000 0.5000 1
```

4.
ZrTlRu | PBE | optimized geometry

Properties
- Calculated volume: 279.3 Å³ per cell
- Size of the total moment: 0.00 μB per cell
- Calculated total energy: -6.17 eV per atom
- Polymorph energy (0 for the lowest one): 627 meV/atom
- ΔE_f: 0.562 eV per atom

```
data_ZrTlRu
_cell_length_a 6.5363
_cell_length_b 6.5363
_cell_length_c 6.5363
_cell_angle_alpha 90.00
_cell_angle_beta 90.00
_cell_angle_gamma 90.00
_space_group_name_H-M_alt 'F -4 3 m'
_space_group_IT_number 216
_space_group_name_Hall 'F -4 2 3'
loop_
_atom_site_label
_atom_site_type_symbol
_atom_site_fract_x
_atom_site_fract_y
_atom_site_fract_z
_atom_site_occupancy
Zr1 Zr 0.0000 0.0000 0.0000 1
Tl1 Tl 0.2500 0.2500 0.7500 1
Ru1 Ru 0.2500 0.2500 0.2500 1
```

5.
Ba4YAl | PBE | optimized geometry

Properties
- Calculated volume: 1109.7 Å³ per cell
- Size of the total moment: 8.00 μB per cell
- Calculated total energy: -2.41 eV per atom
- ΔE_f: 0.575 eV per atom

```
data_Ba4YAl
_cell_length_a 10.3530
_cell_length_b 10.3530
_cell_length_c 10.3530
_cell_angle_alpha 90.00
_cell_angle_beta 90.00
_cell_angle_gamma 90.00
_space_group_name_H-M_alt 'F -4 3 m'
_space_group_IT_number 216
_space_group_name_Hall 'F -4 2 3'
loop_
_atom_site_label
_atom_site_type_symbol
_atom_site_fract_x
_atom_site_fract_y
_atom_site_fract_z
_atom_site_occupancy
Ba1 Ba 0.1245 0.1245 0.3755 1
Y1 Y 0.0000 0.0000 0.0000 1
Al1 Al 0.2500 0.2500 0.7500 1
```

6.
MgCr | PBE | optimized geometry

Properties
- Calculated volume: 71.6 Å³ per cell
- Size of the total moment: 6.59 μB per cell
- Calculated total energy: -4.97 eV per atom
- Polymorph energy (0 for the lowest one): 398 meV/atom
- ΔE_f: 0.643 eV per atom

```
data_MgCr
_cell_length_a 2.9641
_cell_length_b 2.9641
_cell_length_c 9.4057
_cell_angle_alpha 90.00
_cell_angle_beta 90.00
_cell_angle_gamma 120.00
_space_group_name_H-M_alt 'P 63/m m c'
_space_group_IT_number 194
_space_group_name_Hall '-P 6c 2c'
loop_
_atom_site_label
_atom_site_type_symbol
_atom_site_fract_x
_atom_site_fract_y
_atom_site_fract_z
_atom_site_occupancy
Mg1 Mg 0.0000 0.0000 0.0000 1
Cr1 Cr 0.3333 0.6667 0.2500 1
```